DFT (GGA-PBEsol) results for a relaxed Li2CaAs crystal. Values from VASP.

The structure in Quantum ESPRESSO input format:
```
&SYSTEM
  ibrav = 0, nat = 4, ntyp = 3
/
ATOMIC_SPECIES
Li 6.94 Li.upf
Ca 40.08 Ca.upf
As 74.92 As.upf
CELL_PARAMETERS angstrom
2.152 1.243 5.116
-2.152 1.243 5.116
0.000 -2.485 5.116
ATOMIC_POSITIONS angstrom
Li 0.000 0.000 0.000
Li 0.000 0.000 4.313
Ca 0.000 0.000 7.292
As 0.000 0.000 10.465
```

Calculated values
- raw total energy (eV/cell) = -13.82
- space-group type = R3m
- N(E_F) (states/eV/atom) = 0.19

=====

DFT (GGA-PBEsol) results for a relaxed NdDyMg2 crystal. Values from VASP.

The structure in Quantum ESPRESSO input format:
```
&SYSTEM
  ibrav = 0, nat = 4, ntyp = 3
/
ATOMIC_SPECIES
Nd 144.24 Nd.upf
Dy 162.50 Dy.upf
Mg 24.30 Mg.upf
CELL_PARAMETERS angstrom
0.000 3.783 3.783
3.783 0.000 3.783
3.783 3.783 0.000
ATOMIC_POSITIONS angstrom
Nd 0.000 0.000 0.000
Dy 3.783 3.783 3.783
Mg 1.892 1.892 1.892
Mg 5.675 5.675 5.675
```

Calculated values
- raw total energy (eV/cell) = -13.93
- space-group type = Fm-3m
- N(E_F) (states/eV/atom) = 1.00

=====

Number 1: volume 82.10 Å³ per cell, magnetic moment 0.81 Bohr magnetons per cell. Number 2: volume 108.30 Å³ per cell, magnetic moment 0.00 Bohr magnetons per cell.